DFT (PBE) results for a geometry-optimized Na4H3Br4 structure.

Calculated values
Crystal system = orthorhombic
Uncorrected energy = -0.0921 hartree per atom
Magnetization = 3.0 Bohr magnetons per cell

The structure in CIF format:
```
data_Na4H3Br4
_chemical_formula_sum 'Na4 H3 Br4'
_cell_length_a 11.973
_cell_length_b 5.072
_cell_length_c 5.072
_cell_angle_alpha 60.47
_cell_angle_beta 90.00
_cell_angle_gamma 90.00
_space_group_name_H-M_alt 'P 1'
_space_group_IT_number 1
loop_
_space_group_symop_operation_xyz
'x,y,z'
loop_
_atom_site_label
_atom_site_fract_x
_atom_site_fract_y
_atom_site_fract_z
Na1 0.000 0.000 0.000
Na2 0.249 0.665 0.665
Na3 0.500 0.999 0.999
Na4 0.751 0.665 0.665
H1 0.139 0.335 0.335
H2 0.500 0.329 0.329
H3 0.861 0.335 0.335
Br1 0.000 0.665 0.665
Br2 0.251 0.000 0.000
Br3 0.500 0.664 0.664
Br4 0.749 0.000 0.000
```